Material: CaReCl2
Method: DFT, GGA-PBE
State: optimized geometry

Geometry as CIF:
```
data_CaReCl2
_chemical_formula_sum 'Ca2 Re2 Cl4'
_space_group_name_H-M_alt 'I m m m'
_space_group_IT_number 71
_space_group_name_Hall '-I 2 2'
_cell_length_a 3.5884
_cell_length_b 4.8355
_cell_length_c 11.8278
_cell_angle_alpha 90.00
_cell_angle_beta 90.00
_cell_angle_gamma 90.00
loop_
_atom_site_label
_atom_site_type_symbol
_atom_site_fract_x
_atom_site_fract_y
_atom_site_fract_z
_atom_site_occupancy
Ca1 Ca 0.0000 0.0000 0.0000 1
Re1 Re 0.0000 0.0000 0.5000 1
Cl1 Cl 0.0000 0.5000 0.1401 1
```

Values from the calculation:
**Distance to the lowest polymorph of the same formula**: 56 meV per atom
**Magnetization**: 0.89 μB per formula unit

Material: CaReCl2
Method: DFT, GGA-PBE
State: optimized geometry

Geometry as CIF:
```
data_CaReCl2
_chemical_formula_sum 'Ca3 Re3 Cl6'
_space_group_name_H-M_alt 'R -3 m'
_space_group_IT_number 166
_space_group_name_Hall '-R 3 2"'
_cell_length_a 3.9330
_cell_length_b 3.9330
_cell_length_c 21.8893
_cell_angle_alpha 90.00
_cell_angle_beta 90.00
_cell_angle_gamma 120.00
loop_
_atom_site_label
_atom_site_type_symbol
_atom_site_fract_x
_atom_site_fract_y
_atom_site_fract_z
_atom_site_occupancy
Ca1 Ca 0.0000 0.0000 0.0000 1
Re1 Re 0.0000 0.0000 0.5000 1
Cl1 Cl 0.0000 0.0000 0.1225 1
```

Values from the calculation:
**Distance to the lowest polymorph of the same formula**: 498 meV per atom
**Magnetization**: 0.00 μB per formula unit

Material: CaReCl2
Method: DFT, GGA-PBE
State: optimized geometry

Geometry as CIF:
```
data_CaReCl2
_chemical_formula_sum 'Ca3 Re3 Cl6'
_space_group_name_H-M_alt 'R -3 m'
_space_group_IT_number 166
_space_group_name_Hall '-R 3 2"'
_cell_length_a 3.1826
_cell_length_b 3.1826
_cell_length_c 26.1315
_cell_angle_alpha 90.00
_cell_angle_beta 90.00
_cell_angle_gamma 120.00
loop_
_atom_site_label
_atom_site_type_symbol
_atom_site_fract_x
_atom_site_fract_y
_atom_site_fract_z
_atom_site_occupancy
Ca1 Ca 0.0000 0.0000 0.0000 1
Re1 Re 0.0000 0.0000 0.5000 1
Cl1 Cl 0.0000 0.0000 0.4095 1
```

Values from the calculation:
**Distance to the lowest polymorph of the same formula**: 167 meV per atom
**Magnetization**: 0.00 μB per formula unit

Material: CaRe4Cl
Method: DFT, GGA-PBE
State: optimized geometry

Geometry as CIF:
```
data_CaRe4Cl
_chemical_formula_sum 'Ca4 Re16 Cl4'
_space_group_name_H-M_alt 'F -4 3 m'
_space_group_IT_number 216
_space_group_name_Hall 'F -4 2 3'
_cell_length_a 7.5905
_cell_length_b 7.5905
_cell_length_c 7.5905
_cell_angle_alpha 90.00
_cell_angle_beta 90.00
_cell_angle_gamma 90.00
loop_
_atom_site_label
_atom_site_type_symbol
_atom_site_fract_x
_atom_site_fract_y
_atom_site_fract_z
_atom_site_occupancy
Ca1 Ca 0.0000 0.0000 0.0000 1
Re1 Re 0.1239 0.1239 0.3761 1
Cl1 Cl 0.2500 0.2500 0.7500 1
```

Values from the calculation:
**Magnetization**: 0.01 μB per formula unit

Material: CaReCl4
Method: DFT, GGA-PBE
State: optimized geometry

Geometry as CIF:
```
data_CaReCl4
_chemical_formula_sum 'Ca4 Re4 Cl16'
_space_group_name_H-M_alt 'F -4 3 m'
_space_group_IT_number 216
_space_group_name_Hall 'F -4 2 3'
_cell_length_a 8.4815
_cell_length_b 8.4815
_cell_length_c 8.4815
_cell_angle_alpha 90.00
_cell_angle_beta 90.00
_cell_angle_gamma 90.00
loop_
_atom_site_label
_atom_site_type_symbol
_atom_site_fract_x
_atom_site_fract_y
_atom_site_fract_z
_atom_site_occupancy
Ca1 Ca 0.0000 0.0000 0.0000 1
Re1 Re 0.2500 0.2500 0.2500 1
Cl1 Cl 0.1252 0.1252 0.6252 1
```

Values from the calculation:
**Magnetization**: 4.84 μB per formula unit

Material: CaReCl2
Method: DFT, GGA-PBE
State: optimized geometry

Geometry as CIF:
```
data_CaReCl2
_chemical_formula_sum 'Ca1 Re1 Cl2'
_space_group_name_H-M_alt 'P 1 2/m 1'
_space_group_IT_number 10
_space_group_name_Hall '-P 2y'
_cell_length_a 3.7648
_cell_length_b 4.0234
_cell_length_c 5.2753
_cell_angle_alpha 90.00
_cell_angle_beta 92.53
_cell_angle_gamma 90.00
loop_
_atom_site_label
_atom_site_type_symbol
_atom_site_fract_x
_atom_site_fract_y
_atom_site_fract_z
_atom_site_occupancy
Ca1 Ca 0.0000 0.0000 0.0000 1
Re1 Re 0.5000 0.0000 0.5000 1
Cl1 Cl 0.3133 0.5000 0.7213 1
```

Values from the calculation:
**Distance to the lowest polymorph of the same formula**: 176 meV per atom
**Magnetization**: 0.00 μB per formula unit

Material: CaReCl2
Method: DFT, GGA-PBE
State: optimized geometry

Geometry as CIF:
```
data_CaReCl2
_chemical_formula_sum 'Ca1 Re1 Cl2'
_space_group_name_H-M_alt 'P 4 m m'
_space_group_IT_number 99
_space_group_name_Hall 'P 4 -2'
_cell_length_a 3.1733
_cell_length_b 3.1733
_cell_length_c 8.6691
_cell_angle_alpha 90.00
_cell_angle_beta 90.00
_cell_angle_gamma 90.00
loop_
_atom_site_label
_atom_site_type_symbol
_atom_site_fract_x
_atom_site_fract_y
_atom_site_fract_z
_atom_site_occupancy
Ca1 Ca 0.0000 0.0000 0.0000 1
Re1 Re 0.5000 0.5000 0.7221 1
Cl1 Cl 0.0000 0.0000 0.5921 1
Cl2 Cl 0.5000 0.5000 0.1844 1
```

Values from the calculation:
**Distance to the lowest polymorph of the same formula**: 0 meV per atom
**Magnetization**: 0.00 μB per formula unit

Material: CaReCl2
Method: DFT, GGA-PBE
State: optimized geometry

Geometry as CIF:
```
data_CaReCl2
_chemical_formula_sum 'Ca1 Re1 Cl2'
_space_group_name_H-M_alt 'P 1 m 1'
_space_group_IT_number 6
_space_group_name_Hall 'P -2y'
_cell_length_a 3.2452
_cell_length_b 4.4755
_cell_length_c 5.5575
_cell_angle_alpha 90.00
_cell_angle_beta 90.26
_cell_angle_gamma 90.00
loop_
_atom_site_label
_atom_site_type_symbol
_atom_site_fract_x
_atom_site_fract_y
_atom_site_fract_z
_atom_site_occupancy
Ca1 Ca 0.0000 0.0000 0.0000 1
Re1 Re 0.4978 0.5000 0.6916 1
Cl1 Cl 0.4961 0.0000 0.5855 1
Cl2 Cl 0.5009 0.5000 0.2045 1
```

Values from the calculation:
**Distance to the lowest polymorph of the same formula**: 149 meV per atom
**Magnetization**: 0.68 μB per formula unit

Material: CaReSCl2
Method: DFT, GGA-PBE
State: optimized geometry

Geometry as CIF:
```
data_CaReSCl2
_chemical_formula_sum 'Ca1 Re1 S1 Cl2'
_space_group_name_H-M_alt 'P 4/m m m'
_space_group_IT_number 123
_space_group_name_Hall '-P 4 2'
_cell_length_a 4.9958
_cell_length_b 4.9958
_cell_length_c 4.5126
_cell_angle_alpha 90.00
_cell_angle_beta 90.00
_cell_angle_gamma 90.00
loop_
_atom_site_label
_atom_site_type_symbol
_atom_site_fract_x
_atom_site_fract_y
_atom_site_fract_z
_atom_site_occupancy
Ca1 Ca 0.0000 0.0000 0.0000 1
Re1 Re 0.5000 0.5000 0.5000 1
S1 S 0.5000 0.5000 0.0000 1
Cl1 Cl 0.0000 0.5000 0.5000 1
```

Values from the calculation:
**Distance to the lowest polymorph of the same formula**: 0 meV per atom
**Magnetization**: 0.00 μB per formula unit

Material: CaReSCl2
Method: DFT, GGA-PBE
State: optimized geometry

Geometry as CIF:
```
data_CaReSCl2
_chemical_formula_sum 'Ca1 Re1 S1 Cl2'
_space_group_name_H-M_alt 'P 4/m m m'
_space_group_IT_number 123
_space_group_name_Hall '-P 4 2'
_cell_length_a 5.0577
_cell_length_b 5.0577
_cell_length_c 5.6566
_cell_angle_alpha 90.00
_cell_angle_beta 90.00
_cell_angle_gamma 90.00
loop_
_atom_site_label
_atom_site_type_symbol
_atom_site_fract_x
_atom_site_fract_y
_atom_site_fract_z
_atom_site_occupancy
Ca1 Ca 0.0000 0.0000 0.0000 1
Re1 Re 0.5000 0.5000 0.5000 1
S1 S 0.0000 0.0000 0.5000 1
Cl1 Cl 0.0000 0.5000 0.0000 1
```

Values from the calculation:
**Distance to the lowest polymorph of the same formula**: 618 meV per atom
**Magnetization**: 5.00 μB per formula unit

Material: CaYReCl2
Method: DFT, GGA-PBE
State: optimized geometry

Geometry as CIF:
```
data_CaYReCl2
_chemical_formula_sum 'Ca1 Y1 Re1 Cl2'
_space_group_name_H-M_alt 'P 4/m m m'
_space_group_IT_number 123
_space_group_name_Hall '-P 4 2'
_cell_length_a 4.8379
_cell_length_b 4.8379
_cell_length_c 5.8197
_cell_angle_alpha 90.00
_cell_angle_beta 90.00
_cell_angle_gamma 90.00
loop_
_atom_site_label
_atom_site_type_symbol
_atom_site_fract_x
_atom_site_fract_y
_atom_site_fract_z
_atom_site_occupancy
Ca1 Ca 0.0000 0.0000 0.0000 1
Y1 Y 0.5000 0.5000 0.0000 1
Re1 Re 0.0000 0.0000 0.5000 1
Cl1 Cl 0.0000 0.5000 0.5000 1
```

Values from the calculation:
**Magnetization**: 1.38 μB per formula unit

Material: CaZnReCl2
Method: DFT, GGA-PBE
State: optimized geometry

Geometry as CIF:
```
data_CaZnReCl2
_chemical_formula_sum 'Ca1 Zn1 Re1 Cl2'
_space_group_name_H-M_alt 'P 4/m m m'
_space_group_IT_number 123
_space_group_name_Hall '-P 4 2'
_cell_length_a 4.6939
_cell_length_b 4.6939
_cell_length_c 6.9661
_cell_angle_alpha 90.00
_cell_angle_beta 90.00
_cell_angle_gamma 90.00
loop_
_atom_site_label
_atom_site_type_symbol
_atom_site_fract_x
_atom_site_fract_y
_atom_site_fract_z
_atom_site_occupancy
Ca1 Ca 0.0000 0.0000 0.0000 1
Zn1 Zn 0.0000 0.0000 0.5000 1
Re1 Re 0.5000 0.5000 0.0000 1
Cl1 Cl 0.0000 0.5000 0.5000 1
```

Values from the calculation:
**Magnetization**: 3.75 μB per formula unit

Values for energy relative to the elements, uncorrected, eV/atom, ordered as above
-0.2152 0.2268 -0.1047 0.8661 0.5711 -0.0951 -0.2714 -0.1219 -0.4300 0.1879 0.5726 0.7143
Values for VASP energy, eV per atom, ordered as above
-4.751 -4.309 -4.640 -8.074 -3.068 -4.631 -4.807 -4.658 -4.884 -4.266 -4.349 -3.169
Values for mass density, g/cm³, ordered as above
4.81 5.05 6.46 12.46 4.01 6.18 5.65 6.11 4.85 3.78 4.71 3.92